Computed, not measured: a relaxed structure of SrSmO3 at the GGA-PBE level of DFT.

Cell and atoms, written as POSCAR:
```
SrSmO3
1.0
5.9489 0.0000 0.0000
0.0000 5.9585 0.0000
0.0000 0.0000 9.6524
O Sr Sm
12 4 4
direct
0.7983 0.6409 0.7500 O
0.2017 0.3591 0.2500 O
0.7017 0.1409 0.7500 O
0.2983 0.8591 0.2500 O
0.2786 0.7183 0.6099 O
0.7214 0.2817 0.1099 O
0.7786 0.7817 0.3901 O
0.2786 0.7183 0.8901 O
0.7786 0.7817 0.1099 O
0.2214 0.2183 0.8901 O
0.2214 0.2183 0.6099 O
0.7214 0.2817 0.3901 O
0.0000 0.5000 0.5000 Sr
0.5000 0.0000 0.5000 Sr
0.5000 0.0000 0.0000 Sr
0.0000 0.5000 0.0000 Sr
0.5511 0.5440 0.2500 Sm
0.9489 0.0440 0.2500 Sm
0.0511 0.9560 0.7500 Sm
0.4489 0.4560 0.7500 Sm
```

Summary:
E in eV per formula unit: -34.118
Space-group type: Pnma (62)
Crystal system: orthorhombic

***

Computed, not measured: a relaxed structure of SrSmO3 at the GGA-PBE level of DFT.

Cell and atoms, written as POSCAR:
```
SrSmO3
1.0
3.1037 -1.7919 -4.9350
-3.1037 -1.7919 -4.9350
0.0000 3.5838 -4.9350
O Sm Sr
6 2 2
direct
0.1449 0.7500 0.3551 O
0.3551 0.1449 0.7500 O
0.2500 0.6449 0.8551 O
0.8551 0.2500 0.6449 O
0.6449 0.8551 0.2500 O
0.7500 0.3551 0.1449 O
0.0000 0.0000 0.0000 Sm
0.5000 0.5000 0.5000 Sm
0.7500 0.7500 0.7500 Sr
0.2500 0.2500 0.2500 Sr
```

Summary:
E in eV per formula unit: -34.344
Space-group type: R-3c (167)
Crystal system: trigonal

***

Computed, not measured: a relaxed structure of SrSmO3 at the GGA-PBE level of DFT.

Cell and atoms, written as POSCAR:
```
SrSmO3
1.0
4.2092 3.7437 -2.4285
5.2898 -2.4494 -1.9102
1.0198 -0.3275 -6.0401
O Sr Sm
6 2 2
direct
0.7500 0.4030 0.0970 O
0.0970 0.7500 0.4030 O
0.5970 0.9030 0.2500 O
0.9030 0.2500 0.5970 O
0.2500 0.5970 0.9030 O
0.4030 0.0970 0.7500 O
0.0000 0.0000 0.0000 Sr
0.5000 0.5000 0.5000 Sr
0.7500 0.7500 0.7500 Sm
0.2500 0.2500 0.2500 Sm
```

Summary:
E in eV per formula unit: -33.171
Space-group type: R-3c (167)
Crystal system: trigonal

***

Computed, not measured: a relaxed structure of SrSmO3 at the GGA-PBE level of DFT.

Cell and atoms, written as POSCAR:
```
SrSmO3
1.0
-3.4950 0.0950 1.7333
-0.0932 -3.9012 0.0259
2.5745 -0.0269 5.1925
O Sr Sm
3 1 1
direct
0.5000 0.0000 0.7084 O
0.5000 0.5000 0.0867 O
0.0000 0.5000 0.7084 O
0.5000 0.5000 0.4878 Sr
0.0000 0.0000 0.9087 Sm
```

Summary:
E in eV per formula unit: -33.032
Space-group type: P4mm (99)
Crystal system: tetragonal

***

Computed, not measured: a relaxed structure of Sr2SmO4 at the GGA-PBE level of DFT.

Cell and atoms, written as POSCAR:
```
Sr2SmO4
1.0
-6.5618 -0.9046 -2.6561
1.9252 6.3305 2.6737
2.8062 -2.2761 -6.1543
O Sr Sm
8 4 2
direct
0.6229 0.7544 0.3772 O
0.6228 0.2456 0.3771 O
0.1273 0.2544 0.8729 O
0.1315 0.7544 0.3771 O
0.6185 0.7456 0.8729 O
0.1271 0.7456 0.8727 O
0.6229 0.2456 0.8685 O
0.1271 0.2544 0.3815 O
0.8750 0.2500 0.6250 Sr
0.3750 0.2500 0.6250 Sr
0.3750 0.7500 0.1250 Sr
0.3750 0.7500 0.6250 Sr
0.7500 0.5000 0.2500 Sm
0.0000 0.0000 0.0000 Sm
```

Summary:
E in eV per formula unit: -46.227
Space-group type: Fd-3m (227)
Crystal system: cubic

***

Computed, not measured: a relaxed structure of SrSmO3 at the GGA-PBE level of DFT.

Cell and atoms, written as POSCAR:
```
SrSmO3
1.0
6.0512 0.0000 0.0000
0.0000 6.2458 0.0000
0.0000 0.0000 8.6266
Sm Sr O
4 4 12
direct
0.5000 0.0000 0.0000 Sm
0.5000 0.0000 0.5000 Sm
0.0000 0.5000 0.0000 Sm
0.0000 0.5000 0.5000 Sm
0.5201 0.5514 0.2500 Sr
0.4799 0.4486 0.7500 Sr
0.0201 0.9486 0.7500 Sr
0.9799 0.0514 0.2500 Sr
0.2956 0.7067 0.9326 O
0.3761 0.9411 0.2500 O
0.7044 0.2933 0.4326 O
0.1239 0.4411 0.2500 O
0.2044 0.2067 0.9326 O
0.2956 0.7067 0.5674 O
0.6239 0.0589 0.7500 O
0.7956 0.7933 0.0674 O
0.8761 0.5589 0.7500 O
0.2044 0.2067 0.5674 O
0.7044 0.2933 0.0674 O
0.7956 0.7933 0.4326 O
```

Summary:
E in eV per formula unit: -34.527
Space-group type: Pnma (62)
Crystal system: orthorhombic

***

Computed, not measured: a relaxed structure of Sm3TaO7 at the GGA-PBE level of DFT.

Cell and atoms, written as POSCAR:
```
Sm3TaO7
1.0
4.6236 3.6448 2.8457
5.8371 -1.4356 -2.5744
-1.0013 5.3889 -5.2755
O Sm Ta
14 6 2
direct
0.6819 0.0711 0.4689 O
0.0711 0.6819 0.0311 O
0.3181 0.9289 0.9689 O
0.6345 0.6345 0.7500 O
0.9382 0.9382 0.7500 O
0.0618 0.0618 0.2500 O
0.9289 0.3181 0.9689 O
0.3700 0.3700 0.7500 O
0.0711 0.6819 0.4689 O
0.6819 0.0711 0.0311 O
0.3655 0.3655 0.2500 O
0.9289 0.3181 0.5311 O
0.6300 0.6300 0.2500 O
0.3181 0.9289 0.5311 O
0.5358 0.0005 0.7500 Sm
0.5000 0.5000 0.5000 Sm
0.0005 0.5358 0.7500 Sm
0.5000 0.5000 0.0000 Sm
0.9995 0.4642 0.2500 Sm
0.4642 0.9995 0.2500 Sm
0.0000 0.0000 0.0000 Ta
0.0000 0.0000 0.5000 Ta
```

Summary:
E in eV per formula unit: -97.474
Space-group type: Cmcm (63)
Crystal system: orthorhombic

***

Computed, not measured: a relaxed structure of Sm2Ta2O5 at the GGA-PBE level of DFT.

Cell and atoms, written as POSCAR:
```
Sm2Ta2O5
1.0
7.1264 0.0000 0.0000
0.0000 4.0370 0.0000
0.0000 0.0000 4.0370
O Sm Ta
5 2 2
direct
0.5000 0.5000 0.5000 O
0.7515 0.5000 0.0000 O
0.2485 0.0000 0.5000 O
0.7515 0.0000 0.5000 O
0.2485 0.5000 0.0000 O
0.5000 0.0000 0.0000 Sm
0.0000 0.0000 0.0000 Sm
0.1974 0.5000 0.5000 Ta
0.8026 0.5000 0.5000 Ta
```

Summary:
E in eV per formula unit: -79.826
Space-group type: P4/mmm (123)
Crystal system: tetragonal
Distance to the lowest polymorph of the same formula in kJ per mole of atoms: 0.0

***

Computed, not measured: a relaxed structure of Sm2Ta2O5 at the GGA-PBE level of DFT.

Cell and atoms, written as POSCAR:
```
Sm2Ta2O5
1.0
-8.2024 0.5942 6.0441
1.4153 -2.3534 2.1520
1.5190 2.5677 1.8090
Ta Sm O
2 2 5
direct
0.0000 0.0000 0.0000 Ta
0.5000 0.0000 0.0000 Ta
0.2657 0.5000 0.5000 Sm
0.7343 0.5000 0.5000 Sm
0.1168 0.5000 0.0000 O
0.5000 0.5000 0.5000 O
0.8832 0.5000 0.0000 O
0.8832 0.0000 0.5000 O
0.1168 0.0000 0.5000 O
```

Summary:
E in eV per formula unit: -77.249
Space-group type: P4/mmm (123)
Crystal system: tetragonal
Distance to the lowest polymorph of the same formula in kJ per mole of atoms: 27.6

***

Computed, not measured: a relaxed structure of Sm2ZrTaO6 at the GGA-PBE level of DFT.

Cell and atoms, written as POSCAR:
```
Sm2ZrTaO6
1.0
-2.7789 2.7789 4.1752
2.7789 -2.7789 4.1752
2.7789 2.7789 -4.1752
Sm O Ta Zr
2 6 1 1
direct
0.7500 0.2500 0.5000 Sm
0.2500 0.7500 0.5000 Sm
0.6628 0.1751 0.8378 O
0.7445 0.7445 0.0000 O
0.8249 0.6628 0.4877 O
0.1751 0.3372 0.5123 O
0.2555 0.2555 0.0000 O
0.3372 0.8249 0.1622 O
0.5000 0.5000 0.0000 Ta
0.0000 0.0000 0.0000 Zr
```

Summary:
E in eV per formula unit: -87.355
Space-group type: I4/m (87)
Crystal system: tetragonal

***

Computed, not measured: a relaxed structure of TbSmO4 at the GGA-PBE level of DFT.

Cell and atoms, written as POSCAR:
```
TbSmO4
1.0
-3.4908 -1.2560 -1.1853
-0.5077 -3.5597 -1.4963
-0.7003 -1.7104 5.9528
O Tb Sm
4 1 1
direct
0.3522 0.3522 0.1503 O
0.0891 0.0891 0.4351 O
0.6481 0.6481 0.8596 O
0.9122 0.9122 0.5543 O
0.6847 0.6847 0.2304 Tb
0.3136 0.3136 0.7703 Sm
```

Summary:
E in eV per formula unit: -46.679
Space-group type: Cm (8)
Crystal system: monoclinic

***

Computed, not measured: a relaxed structure of TbSmTeO2 at the GGA-PBE level of DFT.

Cell and atoms, written as POSCAR:
```
TbSmTeO2
1.0
-0.2915 2.7349 -2.8322
2.0913 -3.2872 -0.6379
-5.9525 -3.2894 -2.5638
Tb O Sm Te
1 2 1 1
direct
0.3333 0.6667 0.6957 Tb
0.3333 0.6667 0.3826 O
0.6667 0.3333 0.6237 O
0.6667 0.3333 0.3022 Sm
0.0000 0.0000 0.9958 Te
```

Summary:
E in eV per formula unit: -36.687
Space-group type: P3m1 (156)
Crystal system: trigonal
Distance to the lowest polymorph of the same formula in kJ per mole of atoms: 7.8